VASP calculation (PBE) on an optimized crystal structure of Ac4Se2S3.

abc: 8.359 7.998 8.961
angles: 90.00 117.80 90.00
Fractional coordinates of all 18 atoms:
Ac 0.796 0.043 0.591
Ac 0.225 0.750 0.951
Ac 0.704 0.543 0.409
Ac 0.275 0.250 0.049
Ac 0.296 0.457 0.591
Ac 0.204 0.957 0.409
Ac 0.725 0.750 0.951
Ac 0.775 0.250 0.049
S 0.540 0.750 0.580
S 0.460 0.250 0.420
S 0.960 0.250 0.420
S 0.000 0.000 0.000
S 0.500 0.500 0.000
S 0.040 0.750 0.580
Se 0.896 0.415 0.791
Se 0.396 0.085 0.791
Se 0.604 0.915 0.209
Se 0.104 0.585 0.209

Output
Total moment (μB per formula unit): 0.0
SG: Cmce (64)
E_tot (eV per atom): -5.916



VASP calculation (PBE) on an optimized crystal structure of UNi11As.

abc: 4.706 6.195 6.227
angles: 82.63 67.80 70.16
Each line ends with the local moment (μB).
Fractional coordinates of all 13 atoms:
Ni 0.000 0.000 0.500  0.21
Ni 0.023 0.346 0.644  0.14
Ni 0.492 0.784 0.217  0.12
Ni 0.000 0.500 0.000  0.07
Ni 0.710 0.784 0.783  0.12
Ni 0.667 0.346 0.356  0.14
Ni 0.508 0.216 0.783  0.12
Ni 0.290 0.216 0.217  0.12
Ni 0.500 0.000 0.500  0.21
Ni 0.977 0.654 0.356  0.14
Ni 0.333 0.654 0.644  0.14
U 0.000 0.000 0.000  -0.89
As 0.500 0.500 0.000  0.01

Output
E_form (eV/atom): -0.158
Total moment (μB per formula unit): 0.5
SG: C2/m (12)



VASP calculation (PBE) on an optimized crystal structure of Pr3Nd2Hg4.

abc: 5.410 5.407 10.478
angles: 90.05 90.00 59.98
Each line ends with the local moment (μB).
Fractional coordinates of all 9 atoms:
Pr 0.000 0.000 0.000  0.17
Pr 0.333 0.333 0.416  0.01
Pr 0.667 0.667 0.584  0.01
Hg 0.000 0.000 0.345  0.00
Hg 0.333 0.333 0.104  0.01
Hg 0.000 0.000 0.655  0.00
Hg 0.667 0.667 0.896  0.01
Nd 0.667 0.667 0.210  0.08
Nd 0.333 0.333 0.790  0.08

Output
E_form (eV/atom): -0.387
Total moment (μB per formula unit): 0.7
ΔE to the lowest computed polymorph (eV/atom): 0.000
SG: C2/m (12)



VASP calculation (PBE) on an optimized crystal structure of Ho6ErZr.

abc: 6.466 6.599 6.471
angles: 90.04 60.03 90.09
Fractional coordinates of all 8 atoms:
Er 0.000 0.500 0.000
Ho 0.444 0.244 0.555
Ho 0.001 0.756 0.555
Ho 0.445 0.756 0.000
Ho 0.555 0.244 0.000
Ho 0.999 0.244 0.445
Ho 0.556 0.756 0.445
Zr 0.000 0.000 0.000

Output
E_form (eV/atom): 0.239
Total moment (μB per formula unit): 0.0
ΔE to the lowest computed polymorph (eV/atom): 0.000
SG: C2/m (12)